Below is crystalline TbGa2CuNi4 at its relaxed geometry, with properties calculated at the PBE level.

Unit cell a=4.059 b=4.059 c=8.379 alpha=75.98 beta=75.98 gamma=60.00
Atoms (fractional coordinates):
Ni 0.872 0.872 0.384
Ni 0.403 0.403 0.790
Ni 0.128 0.128 0.616
Ni 0.597 0.597 0.210
Cu 0.500 0.500 0.500
Ga 0.763 0.763 0.711
Ga 0.237 0.237 0.289
Tb 0.000 0.000 0.000

DFT total energy in eV per cell: -40.705
E_form in meV per atom: -350.0
N(E_F) in states/eV/cell: 5.75